1.
VASP calculation (PBE) on a relaxed Tb2Dy2Th crystal.

a b c (Å): 10.080 5.718 8.276
angles (deg): 69.80 127.52 90.00
Fractional coordinates of all 10 atoms:
Tb 0.573 0.074 0.352
Th 0.102 0.250 0.000
Th 0.898 0.750 0.000
Dy 0.678 0.387 0.726
Tb 0.779 0.574 0.352
Dy 0.322 0.613 0.274
Tb 0.427 0.926 0.648
Tb 0.221 0.426 0.648
Dy 0.952 0.113 0.274
Dy 0.048 0.887 0.726

Values from the calculation:
relative energy among the computed polymorphs = 0.1408 eV/atom
density = 8.531 g cm⁻³
calculated volume = 34.06 Å³ per atom
energy of formation from the pure elements = 0.205 eV/atom



2.
VASP calculation (PBE) on a relaxed Pr3Sb2Rh crystal.

a b c (Å): 4.534 12.314 12.386
angles (deg): 90.00 90.00 90.00
Fractional coordinates of all 24 atoms:
Pr 0.250 0.129 0.553
Rh 0.250 0.131 0.126
Sb 0.750 0.999 0.690
Pr 0.750 0.629 0.947
Pr 0.250 0.699 0.228
Rh 0.250 0.369 0.626
Rh 0.750 0.631 0.374
Pr 0.750 0.199 0.272
Sb 0.250 0.001 0.310
Sb 0.250 0.809 0.990
Sb 0.250 0.499 0.810
Pr 0.250 0.801 0.728
Pr 0.250 0.446 0.383
Sb 0.250 0.691 0.490
Pr 0.750 0.554 0.617
Rh 0.750 0.869 0.874
Sb 0.750 0.309 0.510
Sb 0.750 0.501 0.190
Pr 0.750 0.946 0.117
Pr 0.750 0.871 0.447
Sb 0.750 0.191 0.010
Pr 0.750 0.301 0.772
Pr 0.250 0.054 0.883
Pr 0.250 0.371 0.053

Values from the calculation:
density = 7.388 g cm⁻³
formation energy (no corrections) = -0.99 eV per atom
calculated volume = 28.81 Å³ per atom



3.
VASP calculation (PBE) on a relaxed Cs2IrPtBr6 crystal.

a b c (Å): 7.507 7.507 7.497
angles (deg): 59.96 59.96 90.00
Fractional coordinates of all 10 atoms:
Pt 0.000 0.000 0.000
Br 0.745 0.255 0.000
Br 0.255 0.255 0.000
Cs 0.250 0.750 0.500
Br 0.254 0.254 0.492
Br 0.745 0.745 0.000
Ir 0.500 0.500 0.000
Br 0.255 0.745 0.000
Cs 0.750 0.250 0.500
Br 0.746 0.746 0.508

Values from the calculation:
density = 6.303 g cm⁻³
formation energy (no corrections) = -0.66 eV per atom
calculated volume = 29.84 Å³ per atom



4.
VASP calculation (PBE) on a relaxed Ba2ZnBiP crystal.

a b c (Å): 6.337 6.337 4.547
angles (deg): 90.00 90.00 90.00
Fractional coordinates of all 5 atoms:
Zn 0.000 0.000 0.500
P 0.000 0.000 0.000
Ba 0.500 0.000 0.000
Ba 0.000 0.500 0.000
Bi 0.500 0.500 0.500

Values from the calculation:
relative energy among the computed polymorphs = 0.1811 eV/atom
density = 5.275 g cm⁻³
calculated volume = 36.52 Å³ per atom
energy of formation from the pure elements = -0.651 eV/atom



5.
VASP calculation (PBE) on a relaxed YHgICl2 crystal.

a b c (Å): 5.346 5.346 6.074
angles (deg): 90.00 90.00 90.00
Fractional coordinates of all 5 atoms:
Cl 0.500 0.000 0.000
Cl 0.000 0.500 0.000
Hg 0.500 0.500 0.500
I 0.000 0.000 0.500
Y 0.000 0.000 0.000

Values from the calculation:
density = 4.661 g cm⁻³
formation energy (no corrections) = -1.46 eV per atom
calculated volume = 34.72 Å³ per atom



6.
VASP calculation (PBE) on a relaxed Li2ZrHg crystal.

a b c (Å): 4.656 4.125 4.125
angles (deg): 90.00 90.00 90.00
Fractional coordinates of all 4 atoms:
Li 0.000 0.500 0.500
Zr 0.500 0.500 0.000
Li 0.000 0.000 0.000
Hg 0.500 0.000 0.500

Values from the calculation:
density = 6.406 g cm⁻³
calculated volume = 19.81 Å³ per atom
energy of formation from the pure elements = 0.065 eV/atom